1.
A relaxed structure of MgBeTe3. Source: Alexandria via LeMat-Bulk, functional GGA-PBE.

Lattice parameters (Å, degrees): 5.424 5.424 5.424 90.00 90.00 90.00
Fractional positions:
Be 0.500 0.500 0.500
Mg 0.000 0.000 0.000
Te 0.000 0.500 0.000
Te 0.000 0.000 0.500
Te 0.500 0.000 0.000

Total moment = 0.00 Bohr magnetons per cell
E above lowest polymorph = 584.1 meV/atom
Formation energy from raw total energies = 0.80 eV/atom
Crystal system = cubic


2.
A relaxed structure of Y2MgScNb. Source: Alexandria via LeMat-Bulk, functional GGA-PBE.

Lattice parameters (Å, degrees): 5.377 5.132 5.377 90.00 90.00 90.00
Fractional positions:
Y 0.000 0.000 0.500
Y 0.500 0.000 0.000
Sc 0.000 0.500 0.000
Nb 0.500 0.500 0.500
Mg 0.000 0.000 0.000

DFT formation energy = 1191 meV/atom
Total moment = 0.00 Bohr magnetons per cell
E above lowest polymorph = 650.1 meV/atom
Crystal system = tetragonal


3.
A relaxed structure of TbYAgBi. Source: Alexandria via LeMat-Bulk, functional GGA-PBE.

Lattice parameters (Å, degrees): 5.314 5.314 5.314 60.00 60.00 60.00
Each line ends with the local moment (μB).
Fractional positions:
Y 0.750 0.750 0.750  0.14
Tb 0.250 0.250 0.250  0.17
Bi 0.500 0.500 0.500  -0.01
Ag 0.000 0.000 0.000  0.01

DFT formation energy = -437 meV/atom
Total moment = 0.52 Bohr magnetons per cell
Crystal system = cubic


4.
A relaxed structure of AcPm2TmTl4. Source: Alexandria via LeMat-Bulk, functional GGA-PBE.

Lattice parameters (Å, degrees): 5.533 5.533 9.685 73.40 73.40 60.00
Fractional positions:
Ac 0.000 0.000 0.000
Pm 0.752 0.752 0.743
Pm 0.248 0.248 0.257
Tm 0.500 0.500 0.500
Tl 0.380 0.380 0.859
Tl 0.871 0.871 0.386
Tl 0.129 0.129 0.614
Tl 0.620 0.620 0.141

DFT formation energy = -326 meV/atom
Total moment = 0.00 Bohr magnetons per cell
Crystal system = trigonal


5.
A relaxed structure of BaMgAg2. Source: Alexandria via LeMat-Bulk, functional GGA-PBE.

Lattice parameters (Å, degrees): 4.864 4.864 6.329 67.34 67.34 60.21
Fractional positions:
Mg 0.750 0.750 0.750
Ba 0.250 0.250 0.250
Ag 0.051 0.051 0.845
Ag 0.449 0.449 0.655

DFT formation energy = -250 meV/atom
Total moment = 0.00 Bohr magnetons per cell
Crystal system = monoclinic


6.
A relaxed structure of Y2OsW. Source: Alexandria via LeMat-Bulk, functional GGA-PBE.

Lattice parameters (Å, degrees): 10.084 10.084 10.084 18.24 18.24 18.24
Fractional positions:
Os 0.490 0.490 0.490
W 0.762 0.762 0.762
Y 0.012 0.012 0.012
Y 0.237 0.237 0.237

DFT formation energy = 506 meV/atom
Total moment = 0.00 Bohr magnetons per cell
E above lowest polymorph = 456.7 meV/atom
Crystal system = trigonal


Number 1: VASP energy -2.15 eV/atom. Number 2: VASP energy -4.99 eV/atom. Number 3: VASP energy -4.89 eV/atom. Number 4: VASP energy -3.77 eV/atom. Number 5: VASP energy -2.55 eV/atom. Number 6: VASP energy -8.77 eV/atom.